Record 1
Computed, not measured: a crystal of HfOsRh3 relaxed with PBEsol at the meta-GGA SCAN level of DFT.

a = 4.6062 Å, b = 4.6062 Å, c = 4.6062 Å
α = 90.00°, β = 90.00°, γ = 90.00°
Last column: nearest neighbours and their distance in Å.
Space group Pm-3m (No. 221)
Asymmetric unit:
Hf 0.0000 0.0000 0.0000  12 Rh 3.26
Os 0.5000 0.5000 0.5000  6 Rh 2.30
Rh 0.0000 0.5000 0.5000  2 Os 2.30

---

Record 2
Computed, not measured: a crystal of CoRuW2 relaxed with PBEsol at the meta-GGA SCAN level of DFT.

ΔE to the lowest computed polymorph (kJ/mol of atoms): 0.1

a = 3.8303 Å, b = 3.8303 Å, c = 7.4445 Å
α = 90.00°, β = 90.00°, γ = 90.00°
Last column: nearest neighbours and their distance in Å.
Space group I4/mmm (No. 139)
Asymmetric unit:
Co 0.0000 0.0000 0.0000  8 W 2.67, 4 Ru 2.71
Ru 0.0000 0.0000 0.5000  8 W 2.67, 4 Co 2.71
W 0.0000 0.5000 0.2500  4 Co 2.67, 4 Ru 2.67, 4 W 2.71

---

Table of theoretical density (kg/m³), in record order: 11510, 16045
Table of ΔH_f (0 K) (eV/atom), in record order: 1.075, 0.119